The following is a DFT calculation (GGA+U) of a geometry-optimized TmCr2O8 structure.

Values from the calculation:
Raw total energy (eV per atom): -6.97
Space group: P-3m1

a b c (Å): 5.937 5.937 6.338
angles (deg): 90.00 90.00 120.00
Last column: magnetic moment on the atom in μB.
Atoms (fractional coordinates):
1 Tm 0.000 0.000 0.500  -0.02
2 Cr 0.333 0.667 0.780  -0.18
3 Cr 0.667 0.333 0.220  -0.18
4 O 0.667 0.333 0.965  0.17
5 O 0.333 0.667 0.035  0.17
6 O 0.359 0.179 0.307  0.14
7 O 0.641 0.821 0.693  0.14
8 O 0.179 0.821 0.693  0.14
9 O 0.821 0.179 0.307  0.14
10 O 0.821 0.641 0.307  0.14
11 O 0.179 0.359 0.693  0.14